# GGA-PBE LaAl2Zn, relaxed
data_LaAl2Zn
_chemical_formula_sum 'La2 Al4 Zn2'
_space_group_name_H-M_alt 'C 1 2/m 1'
_space_group_IT_number 12
_space_group_name_Hall '-C 2y'
_cell_length_a 6.263
_cell_length_b 9.579
_cell_length_c 2.979
_cell_angle_alpha 90.00
_cell_angle_beta 91.84
_cell_angle_gamma 90.00
loop_
_atom_site_label
_atom_site_fract_x
_atom_site_fract_y
_atom_site_fract_z
La1 0.000 0.000 0.000
Al1 0.250 0.250 0.500
Zn1 0.000 0.500 0.000
# DOS at the Fermi energy = 0.53 states/eV per atom
# formation energy = -0.001 eV/atom
# density = 4.8 g cm⁻³
# total DFT energy (no corrections) = -3.422 eV per atom